No. 1
Below is a geometry-optimized Pr2AgHg2 structure, with properties calculated at the PBE-GGA level. Values from VASP.

Quantum ESPRESSO input file:
```
&SYSTEM
  ibrav = 0, nat = 5, ntyp = 3
/
ATOMIC_SPECIES
Pr 140.91 Pr.upf
Ag 107.87 Ag.upf
Hg 200.59 Hg.upf
ATOMIC_POSITIONS crystal
Pr 0.208 0.208 0.209
Pr 0.792 0.792 0.791
Ag 0.000 0.000 0.500
Hg 0.499 0.499 0.225
Hg 0.501 0.501 0.775
CELL_PARAMETERS angstrom
5.608 -2.261 0.000
5.608 2.261 0.000
-4.069 0.000 5.397
```

Summary:
The value obtained for the density of states at the Fermi level is 4.9 states/eV/cell. The size of the total moment comes out at 0.00 μB per cell. The energy relative to the elements comes out at -0.323 eV per atom. Its polymorph energy (0 for the lowest one) is 0.94 kcal/mol of atoms.

=====

No. 2
Below is a geometry-optimized ThTlCd2 structure, with properties calculated at the PBE-GGA level. Values from VASP.

Quantum ESPRESSO input file:
```
&SYSTEM
  ibrav = 0, nat = 4, ntyp = 3
/
ATOMIC_SPECIES
Th 232.04 Th.upf
Tl 204.38 Tl.upf
Cd 112.41 Cd.upf
ATOMIC_POSITIONS crystal
Th 0.000 0.000 0.000
Tl 0.500 0.500 0.500
Cd 0.250 0.250 0.250
Cd 0.750 0.750 0.750
CELL_PARAMETERS angstrom
0.000 3.756 3.756
3.756 0.000 3.756
3.756 3.756 0.000
```

Summary:
The value obtained for the density of states at the Fermi level is 5.0 states/eV/cell. The size of the total moment comes out at 0.00 μB per cell. The energy relative to the elements comes out at 0.039 eV per atom. Its polymorph energy (0 for the lowest one) is 3.81 kcal/mol of atoms.

=====

No. 3
Below is a geometry-optimized LaAlCd structure, with properties calculated at the PBE-GGA level. Values from VASP.

Quantum ESPRESSO input file:
```
&SYSTEM
  ibrav = 0, nat = 3, ntyp = 3
/
ATOMIC_SPECIES
La 138.91 La.upf
Al 26.98 Al.upf
Cd 112.41 Cd.upf
ATOMIC_POSITIONS crystal
La 0.000 0.000 0.000
Al 0.250 0.250 0.250
Cd 0.500 0.500 0.500
CELL_PARAMETERS angstrom
0.000 3.499 3.499
3.499 0.000 3.499
3.499 3.499 0.000
```

Summary:
The value obtained for the density of states at the Fermi level is 0.2 states/eV/cell. The size of the total moment comes out at 0.00 μB per cell. The energy relative to the elements comes out at -0.239 eV per atom.

=====

Q: Which of these has the highest energy relative to the elements?
A: ThTlCd2

=====

Q: What is the energy relative to the elements in the second record?
A: 0.039 eV per atom